Entry 1:
An optimized crystal structure of K2LiCl4, computed with PBE.

The total energy comes out at -3.14 eV per atom. As for the density of states at the Fermi level: 1.6303 states/eV/atom. Its energy relative to the elements, uncorrected is -10.505 eV per formula unit. The total moment comes out at 0.160 μB per atom.

```
K2LiCl4
1.0
4.8379 0.0000 0.0000
0.0000 4.8379 0.0000
-2.4190 -2.4190 8.1958
K Li Cl
2 1 4
Cartesian
2.4190 2.4190 2.3199
0.0000 0.0000 5.8759
0.0000 0.0000 0.0000
0.0000 0.0000 2.7278
2.4190 0.0000 0.0000
0.0000 2.4190 0.0000
2.4190 2.4190 5.4679
```

***

Entry 2:
An optimized crystal structure of KLi2Cl, computed with PBE.

The total energy comes out at -2.47 eV per atom. The calculation puts the energy above the lowest structure with this stoichiometry at 0.0 meV per atom. As for the density of states at the Fermi level: 0.3761 states/eV/atom. Its energy relative to the elements, uncorrected is -3.103 eV per formula unit. The total moment comes out at 0.000 μB per atom.

```
KLi2Cl
1.0
3.7259 0.0000 0.0000
0.0000 4.3186 0.0107
0.0000 2.1401 7.1079
K Cl Li
1 1 2
Cartesian
1.8629 4.5746 4.9433
0.0000 2.4192 3.4342
0.0000 0.2701 0.4896
1.8629 2.4241 1.8107
```

***

Entry 3:
An optimized crystal structure of KLiCl2, computed with PBE.

The total energy comes out at -3.52 eV per atom. As for the density of states at the Fermi level: 0.0000 states/eV/atom. Its energy relative to the elements, uncorrected is -7.392 eV per formula unit. The total moment comes out at 0.000 μB per atom.

```
KLiCl2
1.0
-1.5139 -3.1956 -1.4927
2.7482 -0.0504 -2.6790
3.2175 -2.0606 6.0872
Cl Li K
2 1 1
Cartesian
2.8364 -3.8258 4.2621
1.7600 -3.8226 0.4087
3.3630 -3.0396 2.0370
2.8220 -1.2217 -1.3019
```

***

Q: Which value of total moment does entry 2 give?
A: 0.000 μB per atom